4
Lattice="-4.692 3.708 0.026 -5.390 -1.986 -1.665 -4.326 -0.679 4.074" Properties=species:S:1:pos:R:3 comment="KAcEuTl, relaxed, DFT PBE" delta_e_f_ev_per_atom=0.0624 m_tot_mub_per_fu=7.86 e_tot_ev_per_cell=-17.6 pbc="T T T"
K 0.000 0.000 0.000
Tl -7.204 0.521 1.217
Ac -10.806 0.782 1.826
Eu -3.602 0.261 0.609